# TiSb2PtI GGA-PBE optimized geometry
data_TiSb2PtI
_chemical_formula_sum 'Ti1 Sb2 Pt1 I1'
_symmetry_space_group_name_H-M 'P 4/m m m'
_symmetry_Int_Tables_number 123
_symmetry_space_group_name_Hall '-P 4 2'
_cell_length_a 5.286
_cell_length_b 5.286
_cell_length_c 5.098
_cell_angle_alpha 90.00
_cell_angle_beta 90.00
_cell_angle_gamma 90.00
loop_
_atom_site_label
_atom_site_type_symbol
_atom_site_fract_x
_atom_site_fract_y
_atom_site_fract_z
_atom_site_occupancy
Ti1 Ti 0.000 0.000 0.000 1
Sb1 Sb 0.000 0.500 0.000 1
Pt1 Pt 0.500 0.500 0.500 1
I1 I 0.000 0.000 0.500 1
# **Relative energy among the computed polymorphs**: 0.0 meV per atom
# **ΔE_f (raw)**: 0.62 eV/atom
# **Electronic total energy**: -4.12 eV per atom